Record 1
Crystalline NbZnGaAu at its relaxed geometry. Source: the Alexandria database, functional GGA-PBE.

abc: 3.8118 4.0268 4.2989
angles: 90.00 90.00 90.00
Closest atoms and distances in Å follow each position.
Element x y z (fractional)
Nb1 0.0000 0.0000 0.0000  4 Ga 2.77, 4 Zn 2.87, 4 Au 2.95
Zn1 0.5000 0.0000 0.5000  4 Au 2.77, 4 Nb 2.87, 4 Ga 2.95
Ga1 0.5000 0.5000 0.0000  4 Nb 2.77, 4 Au 2.87, 4 Zn 2.95
Au1 0.0000 0.5000 0.5000  4 Zn 2.77, 4 Ga 2.87, 4 Nb 2.95

Values from the calculation:
**Crystal system**: orthorhombic

Record 2
Crystalline LiTmLuCu at its relaxed geometry. Source: the Alexandria database, functional GGA-PBE.

abc: 4.9279 4.9279 4.9279
angles: 60.00 60.00 60.00
Closest atoms and distances in Å follow each position.
Element x y z (fractional)
Li1 0.0000 0.0000 0.0000  4 Tm 3.02, 4 Lu 3.02
Tm1 0.2500 0.2500 0.2500  4 Cu 3.02, 4 Li 3.02
Lu1 0.7500 0.7500 0.7500  4 Cu 3.02, 4 Li 3.02
Cu1 0.5000 0.5000 0.5000  4 Lu 3.02, 4 Tm 3.02

Values from the calculation:
**Crystal system**: cubic

| no. | size of the total moment (Bohr magnetons per cell) | uncorrected energy (hartree per atom) |
| --- | --- | --- |
| 1 | 0.0 | -0.171 |
| 2 | 0.0 | -0.140 |